[1]
TlIn2Ir after structural relaxation, computed with PBE.

a b c (Å): 3.0669 4.5730 13.8078
angles (deg): 90.00 90.00 90.00
Last column: nearest neighbours and their distance in Å.
Space group Imm2 (No. 44)
Symmetry-distinct sites (fractional):
Tl 0.0000 0.0000 0.0000 [2 per cell]  2 Tl 3.07, 2 Ir 3.08, 6 In 3.33-3.43
In 0.0000 0.0000 0.3640 [2 per cell]  2 Ir 2.81, 2 In 3.07
In 0.0000 0.5000 0.1847 [2 per cell]  4 Ir 2.76, 2 In 3.07
Ir 0.0000 0.5000 0.6936 [2 per cell]  6 In 2.76-2.81, 2 Ir 3.07, 2 Tl 3.08

Output
As for the density of states at the Fermi level: 2.96 states/eV/cell. The calculation puts the total energy at -33.2 eV per cell. For the formation energy, the calculation gives 0.026 eV per atom. Its total magnetization is 0.00 μB/f.u. The offset from the most stable computed form comes out at 0 meV/atom.

---

[2]
Cs2Rb4Ag after structural relaxation, computed with PBE.

a b c (Å): 25.1635 5.5864 8.5102
angles (deg): 90.00 98.91 90.00
Last column: nearest neighbours and their distance in Å.
Space group C2/m (No. 12)
Symmetry-distinct sites (fractional):
Cs 0.2285 0.0000 0.2425 [4 per cell]  5 Rb 4.99-5.26, 4 Cs 5.17-5.23
Rb 0.0636 0.5000 0.2271 [4 per cell]  2 Ag 3.63
Rb 0.0926 0.0000 0.7156 [4 per cell]  1 Ag 3.61
Ag 0.0000 0.0000 0.0000 [2 per cell]  6 Rb 3.61-3.63

Output
As for the density of states at the Fermi level: 12.31 states/eV/cell. The calculation puts the total energy at -16.3 eV per cell. For the formation energy, the calculation gives 0.043 eV per atom. Its total magnetization is 0.00 μB/f.u. The offset from the most stable computed form comes out at 0 meV/atom.

---

[3]
Ac8Ru3I3O after structural relaxation, computed with PBE.

a b c (Å): 14.6937 8.5274 10.0436
angles (deg): 90.00 119.02 90.00
Last column: nearest neighbours and their distance in Å.
Space group C2/m (No. 12)
Symmetry-distinct sites (fractional):
Ac 0.0232 0.2449 0.3240 [8 per cell]  1 O 2.86, 2 Ru 2.92-2.93
Ac 0.2172 0.0000 0.6733 [4 per cell]  1 O 2.80, 2 Ru 2.94
Ac 0.2294 0.5000 0.6887 [4 per cell]  3 Ru 2.96
Ru 0.0000 0.5000 0.5000 [2 per cell]  6 Ac 2.93-2.96
Ru 0.2500 0.2500 0.5000 [4 per cell]  6 Ac 2.92-2.96
I 0.0000 0.0000 0.0000 [2 per cell]  6 Ac 3.68-3.74
I 0.2500 0.2500 0.0000 [4 per cell]  6 Ac 3.67-3.75
O 0.0000 0.0000 0.5000 [2 per cell]  6 Ac 2.80-2.86

Output
As for the density of states at the Fermi level: 15.32 states/eV/cell. The calculation puts the total energy at -165.6 eV per cell. Its total magnetization is 0.86 μB/f.u. The calculation puts the uncorrected formation energy at -0.83 eV/atom.

---

[4]
P2Pb2I after structural relaxation, computed with PBE.

a b c (Å): 8.7207 8.7207 3.8636
angles (deg): 90.00 90.00 90.00
Last column: nearest neighbours and their distance in Å.
Space group P4/mbm (No. 127)
Symmetry-distinct sites (fractional):
P 0.0899 0.4101 0.0000 [4 per cell]  1 P 2.22
Pb 0.1596 0.6596 0.5000 [4 per cell]  4 P 2.97
I 0.0000 0.0000 0.0000 [2 per cell]  4 P 3.66, 8 Pb 3.81, 2 I 3.86

Output
As for the density of states at the Fermi level: 4.63 states/eV/cell. The calculation puts the total energy at -38.4 eV per cell. Its total magnetization is 0.00 μB/f.u. The calculation puts the uncorrected formation energy at 0.11 eV/atom. The offset from the most stable computed form comes out at 91 meV/atom.

---

[5]
Zn3Ag5 after structural relaxation, computed with PBE.

a b c (Å): 5.2720 14.3577 7.5864
angles (deg): 90.00 109.65 90.00
Last column: nearest neighbours and their distance in Å.
Space group C2/m (No. 12)
Symmetry-distinct sites (fractional):
Zn 0.0000 0.1655 0.0000 [4 per cell]  8 Ag 2.69-2.99
Zn 0.0000 0.2547 0.5000 [4 per cell]  2 Zn 2.64, 8 Ag 2.70-2.78
Zn 0.0993 0.5000 0.3320 [4 per cell]  8 Ag 2.70-2.81
Ag 0.0989 0.3242 0.1992 [8 per cell]  5 Zn 2.69-2.99, 2 Ag 2.85-2.97
Ag 0.1549 0.1004 0.3564 [8 per cell]  5 Zn 2.70-2.81, 3 Ag 2.88-3.01
Ag 0.2364 0.0000 0.9703 [4 per cell]  2 Ag 2.66-2.68, 4 Zn 2.71-2.77

Output
As for the density of states at the Fermi level: 6.13 states/eV/cell. The calculation puts the total energy at -72.2 eV per cell. For the formation energy, the calculation gives 0.004 eV per atom. Its total magnetization is 0.00 μB/f.u. The offset from the most stable computed form comes out at 32 meV/atom.

---

[6]
CaTmBi after structural relaxation, computed with PBE.

a b c (Å): 4.0531 4.0531 11.8276
angles (deg): 90.00 90.00 90.00
Last column: nearest neighbours and their distance in Å.
Space group I4mm (No. 107)
Symmetry-distinct sites (fractional):
Ca 0.0000 0.0000 0.0000 [2 per cell]  5 Tm 3.43-3.79, 4 Bi 3.47
Tm 0.0000 0.0000 0.7099 [2 per cell]  4 Bi 3.22, 1 Ca 3.43
Bi 0.0000 0.0000 0.3349 [2 per cell]  4 Tm 3.22, 4 Ca 3.47

Output
As for the density of states at the Fermi level: 4.62 states/eV/cell. The calculation puts the total energy at -22.9 eV per cell. For the formation energy, the calculation gives -0.371 eV per atom. Its total magnetization is 0.00 μB/f.u.